A geometry-optimized TbSc2Bi structure, computed with PBE.

Calculated values
The value obtained for the uncorrected energy is -21.67 eV for the cell shown. The calculation puts the total moment at 0.111 μB/cell. The energy of formation from the pure elements is -0.12 eV per atom. The space group is R3m.

Cell: 3.5231 3.5231 10.4415 Å, 80.29 80.29 60.00°
Last column: nearest neighbours and their distance in Å.
Fractional positions:
Sc  0.2539  0.2539  0.2382  3 Bi 3.17, 3 Tb 3.37, 6 Sc 3.52
Sc  0.0796  0.0796  0.7611  3 Bi 3.18, 3 Tb 3.36, 6 Sc 3.52
Tb  0.4999  0.4999  0.5003  6 Sc 3.36-3.37, 6 Tb 3.52
Bi  0.6666  0.6666  0.0003  6 Sc 3.17-3.18, 6 Bi 3.52